(1)
A plane-wave DFT calculation with GGA-PBEsol was carried out for a geometry-optimized MnZnNi2 structure.

It has space group Cm (No. 8), with a = 8.573 Å, b = 2.685 Å, c = 4.155 Å, α = 90.00°, β = 105.77° and γ = 90.00°. The inequivalent atoms are Mn at (0.000, 0.000, 0.000), Zn at (0.260, 0.500, 0.309), Ni at (0.007, 0.500, 0.509) and Ni at (0.253, 0.000, 0.804).

For the energy relative to the elements, the calculation gives -0.050 eV per atom. Its calculated total energy is -0.4384 Ry per atom.

(2)
A plane-wave DFT calculation with GGA-PBEsol was carried out for a geometry-optimized MnZn2Ni structure.

It has space group F-43m (No. 216), with a = 5.803 Å, b = 5.803 Å, c = 5.803 Å, α = 90.00°, β = 90.00° and γ = 90.00°. The inequivalent atoms are Mn at (0.000, 0.000, 0.000), Zn at (0.000, 0.000, 0.500), Zn at (0.250, 0.250, 0.750) and Ni at (0.250, 0.250, 0.250).

For the energy relative to the elements, the calculation gives -0.038 eV per atom. Its calculated total energy is -0.3534 Ry per atom.